Run one
Material: CaCoSe2
Method: DFT, PBE
State: optimized geometry

## Properties
DOS(E_F) (states/eV/atom): 0.79
Theoretical density (g/cm³): 4.35
Symmetry: Amm2, No. 38

abc: 4.163 4.134 11.386
angles: 90.00 90.00 90.00
Atoms (fractional coordinates):
Ca (0.000, 0.000, 0.000)
Ca (0.000, 0.500, 0.500)
Co (0.500, 0.000, 0.637)
Co (0.500, 0.500, 0.137)
Se (0.000, 0.000, 0.716)
Se (0.000, 0.500, 0.216)
Se (0.500, 0.000, 0.438)
Se (0.500, 0.500, 0.938)

Run two
Material: CaCoSe2
Method: DFT, PBE
State: optimized geometry

## Properties
DOS(E_F) (states/eV/atom): 1.21
Theoretical density (g/cm³): 5.40
Symmetry: P4/mmm, No. 123

abc: 4.788 4.788 3.448
angles: 90.00 90.00 90.00
Atoms (fractional coordinates):
Ca (0.000, 0.000, 0.000)
Co (0.500, 0.500, 0.000)
Se (0.000, 0.500, 0.500)
Se (0.500, 0.000, 0.500)

Run three
Material: CaCoSe2
Method: DFT, PBE
State: optimized geometry

## Properties
DOS(E_F) (states/eV/atom): 0.88
Theoretical density (g/cm³): 4.66
Symmetry: P4mm, No. 99

abc: 3.270 3.270 8.555
angles: 90.00 90.00 90.00
Atoms (fractional coordinates):
Ca (0.000, 0.000, 0.000)
Co (0.500, 0.500, 0.273)
Se (0.000, 0.000, 0.360)
Se (0.500, 0.500, 0.793)

Run four
Material: CaCoSe2
Method: DFT, PBE
State: optimized geometry

## Properties
DOS(E_F) (states/eV/atom): 0.91
Theoretical density (g/cm³): 5.32
Symmetry: C2/m, No. 12

abc: 6.726 3.889 6.526
angles: 90.00 109.96 90.00
Atoms (fractional coordinates):
Ca (0.000, 0.000, 0.000)
Ca (0.500, 0.500, 0.000)
Co (0.000, 0.500, 0.500)
Co (0.500, 0.000, 0.500)
Se (0.232, 0.000, 0.694)
Se (0.268, 0.500, 0.306)
Se (0.732, 0.500, 0.694)
Se (0.768, 0.000, 0.306)

Most stable = run four

Run one
Material: CaCoSe2
Method: DFT, PBE
State: optimized geometry

## Properties
DOS(E_F) (states/eV/atom): 0.96
Theoretical density (g/cm³): 4.28
Symmetry: Cm, No. 8

abc: 11.782 3.954 4.300
angles: 90.00 95.84 90.00
Atoms (fractional coordinates):
Ca (0.000, 0.000, 0.000)
Ca (0.500, 0.500, 0.000)
Co (0.285, 0.000, 0.183)
Co (0.785, 0.500, 0.183)
Se (0.216, 0.500, 0.988)
Se (0.458, 0.000, 0.487)
Se (0.716, 0.000, 0.988)
Se (0.958, 0.500, 0.487)

Run two
Material: CaCoSe2
Method: DFT, PBE
State: optimized geometry

## Properties
DOS(E_F) (states/eV/atom): 0.82
Theoretical density (g/cm³): 4.46
Symmetry: Cmmm, No. 65

abc: 3.770 7.188 7.065
angles: 90.00 90.00 90.00
Atoms (fractional coordinates):
Ca (0.000, 0.000, 0.000)
Ca (0.500, 0.500, 0.000)
Co (0.000, 0.000, 0.500)
Co (0.500, 0.500, 0.500)
Se (0.000, 0.500, 0.290)
Se (0.000, 0.500, 0.710)
Se (0.500, 0.000, 0.290)
Se (0.500, 0.000, 0.710)

Run three
Material: CaCoSe2
Method: DFT, PBE
State: optimized geometry

## Properties
DOS(E_F) (states/eV/atom): 1.04
Theoretical density (g/cm³): 4.26
Symmetry: P-4m2, No. 115

abc: 4.452 4.452 5.049
angles: 90.00 90.00 90.00
Atoms (fractional coordinates):
Ca (0.000, 0.000, 0.000)
Co (0.500, 0.500, 0.500)
Se (0.000, 0.500, 0.653)
Se (0.500, 0.000, 0.347)

Run four
Material: CaCoSe2
Method: DFT, PBE
State: optimized geometry

## Properties
DOS(E_F) (states/eV/atom): 0.70
Theoretical density (g/cm³): 5.36
Symmetry: Fm-3m, No. 225

abc: 6.829 6.829 6.829
angles: 90.00 90.00 90.00
Atoms (fractional coordinates):
Ca (0.000, 0.000, 0.000)
Ca (0.000, 0.500, 0.500)
Ca (0.500, 0.000, 0.500)
Ca (0.500, 0.500, 0.000)
Co (0.000, 0.000, 0.500)
Co (0.000, 0.500, 0.000)
Co (0.500, 0.000, 0.000)
Co (0.500, 0.500, 0.500)
Se (0.250, 0.250, 0.250)
Se (0.250, 0.250, 0.750)
Se (0.250, 0.750, 0.250)
Se (0.250, 0.750, 0.750)
Se (0.750, 0.250, 0.250)
Se (0.750, 0.250, 0.750)
Se (0.750, 0.750, 0.250)
Se (0.750, 0.750, 0.750)

Most stable = run one